i) Material: NiI2Cl
Method: DFT, PBE
State: optimized geometry

Values from the calculation:
Volume = 24.04 Å³ per atom

Cell lengths 7.273, 7.273, 7.273 Å; angles 90.00, 90.00, 90.00 degrees
Space group Fm-3m (No. 225)
Inequivalent atoms, fractional coordinates:
Ni  0.000  0.000  0.000
I  0.250  0.250  0.250
Cl  0.000  0.000  0.500

ii) Material: NiI2Cl
Method: DFT, PBE
State: optimized geometry

Values from the calculation:
Volume = 37.94 Å³ per atom

Cell lengths 3.911, 6.283, 7.053 Å; angles 68.77, 74.55, 72.70 degrees
Space group P1 (No. 1)
Inequivalent atoms, fractional coordinates:
Ni  0.000  0.000  0.000
I  0.868  0.889  0.385
I  0.973  0.362  0.696
Cl  0.586  0.881  0.940

iii) Material: NiI2Cl
Method: DFT, PBE
State: optimized geometry

Values from the calculation:
Volume = 32.36 Å³ per atom

Cell lengths 7.136, 7.136, 10.169 Å; angles 90.00, 90.00, 90.00 degrees
Space group I-42d (No. 122)
Inequivalent atoms, fractional coordinates:
Ni  0.000  0.000  0.000
I  0.159  0.250  0.125
Cl  0.000  0.000  0.500

Last place for stability: i)